[1]
Density functional theory data (PBE-GGA) for a relaxed structure of Pr2NiSn.

Properties
- Crystal system: tetragonal
- Final energy: -5.116 eV/atom

Lattice parameters (Å, degrees): 5.045 5.045 4.131 90.00 90.00 90.00
Atoms (fractional coordinates):
Ni (0.000, 0.000, 0.000)
Pr (0.500, 0.000, 0.500)
Pr (0.000, 0.500, 0.500)
Sn (0.500, 0.500, 0.000)

[2]
Density functional theory data (PBE-GGA) for a relaxed structure of PrNiSn.

Properties
- Crystal system: hexagonal
- Final energy: -5.397 eV/atom

Lattice parameters (Å, degrees): 7.483 7.483 4.081 90.00 90.00 120.00
Atoms (fractional coordinates):
Ni (0.667, 0.333, 0.000)
Ni (0.333, 0.667, 0.000)
Ni (0.000, 0.000, 0.500)
Pr (0.587, 0.000, 0.500)
Pr (0.413, 0.413, 0.500)
Pr (0.000, 0.587, 0.500)
Sn (0.248, 0.000, 0.000)
Sn (0.000, 0.248, 0.000)
Sn (0.752, 0.752, 0.000)

[3]
Density functional theory data (PBE-GGA) for a relaxed structure of TbPrNi2Sn2.

Properties
- Crystal system: trigonal
- Final energy: -5.373 eV/atom

Lattice parameters (Å, degrees): 4.547 4.547 7.405 90.00 90.00 120.00
Atoms (fractional coordinates):
Ni (0.333, 0.667, 0.063)
Ni (0.667, 0.333, 0.479)
Pr (0.000, 0.000, 0.739)
Sn (0.667, 0.333, 0.009)
Sn (0.333, 0.667, 0.465)
Tb (0.000, 0.000, 0.245)

[4]
Density functional theory data (PBE-GGA) for a relaxed structure of PrYNi2Sn4.

Properties
- Crystal system: orthorhombic
- Final energy: -5.357 eV/atom

Lattice parameters (Å, degrees): 4.528 9.402 9.402 27.13 90.00 90.00
Atoms (fractional coordinates):
Ni (0.500, 0.319, 0.319)
Ni (0.000, 0.681, 0.681)
Pr (0.000, 0.892, 0.892)
Sn (0.000, 0.251, 0.251)
Sn (0.500, 0.455, 0.455)
Sn (0.000, 0.547, 0.547)
Sn (0.500, 0.747, 0.747)
Y (0.500, 0.109, 0.109)

[5]
Density functional theory data (PBE-GGA) for a relaxed structure of SrPrNi.

Properties
- Crystal system: cubic
- Final energy: -3.340 eV/atom

Lattice parameters (Å, degrees): 4.917 4.917 4.917 60.00 60.00 60.00
Atoms (fractional coordinates):
Ni (0.250, 0.250, 0.250)
Pr (0.000, 0.000, 0.000)
Sr (0.750, 0.750, 0.750)

[6]
Density functional theory data (PBE-GGA) for a relaxed structure of PrTaNi.

Properties
- Energy of formation: 168 kJ/mol of formula units
- Crystal system: cubic
- Final energy: -6.818 eV/atom

Lattice parameters (Å, degrees): 4.568 4.568 4.568 60.00 60.00 60.00
Site moments in Bohr magnetons follow the coordinates.
Atoms (fractional coordinates):
Ni (0.000, 0.000, 0.000)  0.14
Pr (0.250, 0.250, 0.250)  0.04
Ta (0.750, 0.750, 0.750)  0.24

final energy of number 6 (PrTaNi)? -6.818 eV/atom